Entry 1:
Entry from Alexandria via LeMat-Bulk: a relaxed K crystal (PBE-GGA).

Unit cell a=8.597 b=8.597 c=16.312 alpha=90.00 beta=90.00 gamma=90.00
Space group I4_1/acd (No. 142, origin choice 2)
Asymmetric unit:
K 0.176 0.074 0.125 (multiplicity 16)



Entry 2:
Entry from Alexandria via LeMat-Bulk: a relaxed K crystal (PBE-GGA).

Unit cell a=7.4994 b=7.4994 c=4.4514 alpha=90.00 beta=90.00 gamma=120.00
Space group P6/mmm (No. 191)
Asymmetric unit:
K 0.0000 0.0000 0.0000 (multiplicity 1)
K 0.3333 0.6667 0.5000 (multiplicity 2)



Entry 3:
Entry from Alexandria via LeMat-Bulk: a relaxed K crystal (PBE-GGA).

Unit cell a=15.2633 b=15.2633 c=4.5213 alpha=90.00 beta=90.00 gamma=120.00
Space group P6_3/m (No. 176)
Asymmetric unit:
K 0.0980 0.3038 0.2500 (multiplicity 6)
K 0.1441 0.6043 0.7500 (multiplicity 6)



| no. | energy relative to the elements (eV per atom) | theoretical density (Mg/m³) |
| --- | --- | --- |
| 1 | 0.06 | 0.86 |
| 2 | 0.01 | 0.90 |
| 3 | 0.03 | 0.85 |